Compound: Na2Y2I
Source: the Alexandria database
Functional: GGA-PBE
Structure: relaxed

Cell lengths 10.435, 10.435, 10.435 Å; angles 155.54, 155.54, 34.87 degrees
Positions (direct):
Na (0.090, 0.090, 0.000)
Na (0.910, 0.910, 0.000)
Y (0.250, 0.750, 0.500)
Y (0.750, 0.250, 0.500)
I (0.500, 0.500, 0.000)

* spin magnetization: 0.952 μB/cell
* total energy: -0.24755 Ry/atom
* raw formation energy: 0.06 eV/atom
* V: 38.9 Å³/atom